Material: ReAgMo2
Method: DFT, PBE
State: relaxed

Values from the calculation:
Offset from the most stable computed form in meV/atom: 634
Formation energy in eV/f.u.: 3.747
V in Å³ per cell: 285.77

abc: 7.253 7.253 5.432
angles: 90.00 90.00 90.00
Space group I-42d (No. 122)
One atom of each set of equivalent atoms:
Re 0.000 0.000 0.000 x4
Ag 0.000 0.000 0.500 x4
Mo 0.213 0.250 0.125 x8

---

Material: Re2AgMo
Method: DFT, PBE
State: relaxed

Values from the calculation:
Offset from the most stable computed form in meV/atom: 274
Formation energy in eV/f.u.: 2.235
V in Å³ per cell: 64.28

abc: 3.287 3.287 5.949
angles: 90.00 90.00 90.00
Space group P4/mmm (No. 123)
One atom of each set of equivalent atoms:
Re 0.000 0.000 0.223 x2
Ag 0.500 0.500 0.500 x1
Mo 0.500 0.500 0.000 x1

---

Material: ReAg2Mo
Method: DFT, PBE
State: relaxed

Values from the calculation:
Offset from the most stable computed form in meV/atom: 299
Formation energy in eV/f.u.: 2.471
V in Å³ per cell: 131.27

abc: 3.170 4.278 9.681
angles: 90.00 90.00 90.00
Space group Cmmm (No. 65)
One atom of each set of equivalent atoms:
Re 0.000 0.000 0.000 x2
Ag 0.000 0.500 0.249 x4
Mo 0.000 0.000 0.500 x2

---

Material: ReAgMo2
Method: DFT, PBE
State: relaxed

Values from the calculation:
Offset from the most stable computed form in meV/atom: 112
Formation energy in eV/f.u.: 1.658
V in Å³ per cell: 126.57

abc: 5.590 8.213 2.757
angles: 90.00 90.00 90.00
Space group Cmmm (No. 65)
One atom of each set of equivalent atoms:
Re 0.000 0.000 0.000 x2
Ag 0.000 0.500 0.000 x2
Mo 0.250 0.250 0.500 x4